First-principles (PBE) data for an optimized crystal structure of ReSeCl, as listed in Alexandria via LeMat-Bulk.

Results
- formation energy (no corrections) (kcal/mol of atoms) = 3.9
- E above lowest polymorph (meV/atom) = 740
- total moment (μB/atom) = 0.293
- uncorrected energy (eV per formula unit) = -17.276
- density (g cm⁻³) = 6.91

a = 3.1889 Å, b = 3.1889 Å, c = 14.2073 Å
α = 90.00°, β = 90.00°, γ = 90.00°
Closest atoms and distances in Å follow each position.
Fractional coordinates of all 6 atoms:
Re (0.0000, 0.0000, 0.0000)  1 Cl 2.26
Re (0.5000, 0.5000, 0.5000)  1 Cl 2.26
Se (0.0000, 0.0000, 0.4175)  4 Re 2.54
Se (0.5000, 0.5000, 0.9175)  4 Re 2.54
Cl (0.0000, 0.0000, 0.1592)  1 Re 2.26
Cl (0.5000, 0.5000, 0.6592)  1 Re 2.26

First-principles (PBE) data for an optimized crystal structure of Tb4Ho3Tm8, as listed in Alexandria via LeMat-Bulk.

Results
- E above lowest polymorph (meV/atom) = 0
- total moment (μB/atom) = 0.000
- uncorrected energy (eV per formula unit) = -65.942
- density (g cm⁻³) = 8.76

a = 12.2590 Å, b = 12.2590 Å, c = 12.2590 Å
α = 32.40°, β = 32.40°, γ = 32.40°
Closest atoms and distances in Å follow each position.
Fractional coordinates of all 15 atoms:
Tb (0.0000, 0.0000, 0.0000)  6 Ho 3.42, 6 Tm 3.50
Tb (0.1635, 0.1635, 0.1635)  4 Tm 3.19-3.44
Tb (0.5000, 0.5000, 0.5000)  6 Tm 3.52
Tb (0.8365, 0.8365, 0.8365)  4 Tm 3.19-3.44
Ho (0.0000, 0.5000, 0.5000)  6 Tm 3.37-3.49, 4 Ho 3.42, 2 Tb 3.42
Ho (0.5000, 0.0000, 0.5000)  6 Tm 3.37-3.49, 4 Ho 3.42, 2 Tb 3.42
Ho (0.5000, 0.5000, 0.0000)  6 Tm 3.37-3.49, 2 Tb 3.42, 4 Ho 3.42
Tm (0.2503, 0.2503, 0.7478)  6 Tm 3.40-3.44, 3 Tb 3.44-3.52, 2 Ho 3.49
Tm (0.2503, 0.7478, 0.2503)  6 Tm 3.40-3.44, 3 Tb 3.44-3.52, 2 Ho 3.49
Tm (0.2522, 0.7497, 0.7497)  6 Tm 3.40-3.44, 3 Tb 3.44-3.52, 2 Ho 3.49
Tm (0.2551, 0.2551, 0.2551)  1 Tb 3.19, 3 Ho 3.37, 6 Tm 3.42
Tm (0.7449, 0.7449, 0.7449)  1 Tb 3.19, 3 Ho 3.37, 6 Tm 3.42
Tm (0.7478, 0.2503, 0.2503)  6 Tm 3.40-3.44, 3 Tb 3.44-3.52, 2 Ho 3.49
Tm (0.7497, 0.2522, 0.7497)  6 Tm 3.40-3.44, 3 Tb 3.44-3.52, 2 Ho 3.49
Tm (0.7497, 0.7497, 0.2522)  6 Tm 3.40-3.44, 3 Tb 3.44-3.52, 2 Ho 3.49